9
Lattice="7.1531 0.0000 0.0000 -3.5765 6.1947 0.0000 0.0000 0.0000 4.5442" Properties=species:S:1:pos:R:3 comment="Sr2LaSi6 PBE optimized geometry" total_energy_ev_per_atom=-4.948 magmom_total_mub_per_fu=0.0 vol_a3_per_cell=201.36 pbc="T T T"
Sr 0.0000 4.1298 0.0000
Sr 3.5765 2.0649 0.0000
La 0.0000 0.0000 0.0000
Si -1.1847 2.0520 2.2721
Si -2.3918 4.1428 2.2721
Si 2.3694 0.0000 2.2721
Si 1.1847 2.0520 2.2721
Si 4.7837 0.0000 2.2721
Si 2.3918 4.1428 2.2721

7
Lattice="-2.9911 2.9911 9.3821 2.9911 -2.9911 9.3821 2.9911 2.9911 -9.3821" Properties=species:S:1:pos:R:3 comment="Sr4La2Si PBE optimized geometry" total_energy_ev_per_atom=-2.770 magmom_total_mub_per_fu=0.2 vol_a3_per_cell=335.76 pbc="T T T"
Sr 2.9911 0.0000 0.0000
Sr 0.0000 0.0000 3.1343
Sr 0.0000 2.9911 0.0000
Sr 0.0000 0.0000 15.6299
La 0.0000 0.0000 7.1145
La 0.0000 0.0000 11.6497
Si 0.0000 0.0000 0.0000

5
Lattice="5.9136 0.0000 0.0000 0.0000 5.9136 0.0000 0.0000 0.0000 5.9136" Properties=species:S:1:pos:R:3 comment="SrLa3Si PBE optimized geometry" total_energy_ev_per_atom=-4.464 magmom_total_mub_per_fu=0.0 vol_a3_per_cell=206.80 pbc="T T T"
Sr 0.0000 0.0000 0.0000
La 0.0000 2.9568 2.9568
La 2.9568 0.0000 2.9568
La 2.9568 2.9568 0.0000
Si 2.9568 2.9568 2.9568

What did the first record say?
9
Lattice="7.1531 0.0000 0.0000 -3.5765 6.1947 0.0000 0.0000 0.0000 4.5442" Properties=species:S:1:pos:R:3 comment="Sr2LaSi6 PBE optimized geometry" total_energy_ev_per_atom=-4.948 magmom_total_mub_per_fu=0.0 vol_a3_per_cell=201.36 pbc="T T T"
Sr 0.0000 4.1298 0.0000
Sr 3.5765 2.0649 0.0000
La 0.0000 0.0000 0.0000
Si -1.1847 2.0520 2.2721
Si -2.3918 4.1428 2.2721
Si 2.3694 0.0000 2.2721
Si 1.1847 2.0520 2.2721
Si 4.7837 0.0000 2.2721
Si 2.3918 4.1428 2.2721